# 1
# SnNCl

A relaxed structure of SnNCl (GGA-PBE, Alexandria).

Results
Energy relative to the elements, uncorrected ... -0.136 eV per atom
Offset from the most stable computed form ... 0.41 eV/f.u.

Structure (CIF):
```
data_SnNCl
_chemical_formula_sum 'Sn4 N4 Cl4'
_cell_length_a 3.359
_cell_length_b 13.668
_cell_length_c 6.574
_cell_angle_alpha 90.00
_cell_angle_beta 120.71
_cell_angle_gamma 90.00
_space_group_name_H-M_alt 'P 1 21/c 1'
_space_group_IT_number 14
_space_group_name_Hall '-P 2ybc'
loop_
_atom_site_label
_atom_site_fract_x
_atom_site_fract_y
_atom_site_fract_z
Sn1 0.167 0.193 0.416
N1 0.129 0.719 0.880
Cl1 0.493 0.064 0.242
```

# 2
# Sn2NCl

A relaxed structure of Sn2NCl (GGA-PBE, Alexandria).

Results
D(E_F) ... 5.552 states/eV per cell
Energy relative to the elements, uncorrected ... 0.638 eV per atom
Offset from the most stable computed form ... 2.32 eV/f.u.

Structure (CIF):
```
data_Sn2NCl
_chemical_formula_sum 'Sn8 N4 Cl4'
_cell_length_a 6.828
_cell_length_b 6.828
_cell_length_c 6.828
_cell_angle_alpha 90.00
_cell_angle_beta 90.00
_cell_angle_gamma 90.00
_space_group_name_H-M_alt 'F m -3 m'
_space_group_IT_number 225
_space_group_name_Hall '-F 4 2 3'
loop_
_atom_site_label
_atom_site_fract_x
_atom_site_fract_y
_atom_site_fract_z
Sn1 0.250 0.250 0.250
N1 0.000 0.000 0.000
Cl1 0.000 0.000 0.500
```